# GGA-PBE LaGdHgAu, optimized geometry
data_LaGdHgAu
_cell_length_a 7.5465
_cell_length_b 7.5465
_cell_length_c 7.5465
_cell_angle_alpha 90.00
_cell_angle_beta 90.00
_cell_angle_gamma 90.00
_space_group_name_H-M_alt 'F -4 3 m'
_space_group_IT_number 216
_space_group_name_Hall 'F -4 2 3'
loop_
_atom_site_label
_atom_site_type_symbol
_atom_site_fract_x
_atom_site_fract_y
_atom_site_fract_z
_atom_site_occupancy
La1 La 0.0000 0.0000 0.0000 1
Gd1 Gd 0.0000 0.0000 0.5000 1
Hg1 Hg 0.2500 0.2500 0.7500 1
Au1 Au 0.2500 0.2500 0.2500 1
# **Total DFT energy (no corrections)**: -6.28 eV/atom
# **Formation energy from the elements**: -0.629 eV per atom